First-principles (PBE) data for crystalline Pr2Ni3Sn4Ru at its relaxed geometry, as listed in Alexandria.

Properties
SG = P-4m2, No. 115

a b c (Å): 4.425 4.425 10.570
angles (deg): 90.00 90.00 90.00
Sites, in units of the cell vectors:
Pr: 0.000 0.500 0.249
Pr: 0.500 0.000 0.751
Ni: 0.000 0.000 0.000
Ni: 0.000 0.500 0.628
Ni: 0.500 0.000 0.372
Sn: 0.000 0.000 0.500
Sn: 0.000 0.500 0.866
Sn: 0.500 0.000 0.134
Sn: 0.500 0.500 0.500
Ru: 0.500 0.500 0.000


First-principles (PBE) data for crystalline BaZn4Ni at its relaxed geometry, as listed in Alexandria.

Properties
SG = C2/m, No. 12

a b c (Å): 9.003 9.003 4.991
angles (deg): 106.07 106.07 42.11
Sites, in units of the cell vectors:
Ba: 0.217 0.217 0.218
Ba: 0.783 0.783 0.782
Zn: 0.133 0.696 0.414
Zn: 0.187 0.813 0.000
Zn: 0.304 0.867 0.586
Zn: 0.370 0.370 0.872
Zn: 0.630 0.630 0.128
Zn: 0.696 0.133 0.414
Zn: 0.813 0.187 0.000
Zn: 0.867 0.304 0.586
Ni: 0.500 0.500 0.264
Ni: 0.500 0.500 0.736


| no. | DFT total energy (eV per formula unit) | density (Mg/m³) |
| --- | --- | --- |
| 1 | -57.04 | 8.30 |
| 2 | -13.62 | 5.87 |